1.
Here is an optimized crystal structure of LuTc2As from the Open Quantum Materials Database. Energies are from PBE-GGA.

abc: 4.575 4.575 4.575
angles: 60.00 60.00 60.00
Sites, in units of the cell vectors:
1 As 0.500 0.500 0.500
2 Lu 0.250 0.250 0.250
3 Tc 0.000 0.000 0.000
4 Tc 0.750 0.750 0.750

Values from the calculation:
Electronic total energy in eV/atom: -7.4012
Total moment in μB per formula unit: 0.8
SG: No. 216
Volume in Å³ per atom: 16.93

2.
Here is an optimized crystal structure of LuTlTe3As from the Open Quantum Materials Database. Energies are from PBE-GGA.

abc: 7.888 7.888 11.723
angles: 90.00 90.00 148.49
Sites, in units of the cell vectors:
1 As 0.440 0.560 0.250
2 As 0.560 0.440 0.750
3 Lu 0.000 0.000 0.000
4 Lu 0.000 0.000 0.500
5 Te 0.361 0.639 0.032
6 Te 0.075 0.925 0.250
7 Te 0.361 0.639 0.468
8 Te 0.639 0.361 0.532
9 Te 0.925 0.075 0.750
10 Te 0.639 0.361 0.968
11 Tl 0.762 0.238 0.250
12 Tl 0.238 0.762 0.750

Values from the calculation:
Electronic total energy in eV/atom: -3.9694
Total moment in μB per formula unit: 0.0
SG: No. 63
Volume in Å³ per atom: 31.77

3.
Here is an optimized crystal structure of Tm2LuAs3 from the Open Quantum Materials Database. Energies are from PBE-GGA.

abc: 4.045 4.045 9.937
angles: 90.00 90.00 120.00
Sites, in units of the cell vectors:
1 As 0.000 0.000 0.000
2 As 0.333 0.667 0.334
3 As 0.667 0.333 0.666
4 Lu 0.000 0.000 0.500
5 Tm 0.667 0.333 0.167
6 Tm 0.333 0.667 0.833

Values from the calculation:
Electronic total energy in eV/atom: -6.0635
Total moment in μB per formula unit: 0.0
SG: No. 164
Volume in Å³ per atom: 23.47

4.
Here is an optimized crystal structure of LuAsW from the Open Quantum Materials Database. Energies are from PBE-GGA.

abc: 4.424 4.424 4.424
angles: 60.00 60.00 60.00
Sites, in units of the cell vectors:
1 As 0.000 0.000 0.000
2 Lu 0.250 0.250 0.250
3 W 0.750 0.750 0.750

Values from the calculation:
Electronic total energy in eV/atom: -7.2372
Total moment in μB per formula unit: 0.0
SG: No. 216
Volume in Å³ per atom: 20.41

5.
Here is an optimized crystal structure of LuAsW2 from the Open Quantum Materials Database. Energies are from PBE-GGA.

abc: 4.653 4.653 4.653
angles: 60.00 60.00 60.00
Sites, in units of the cell vectors:
1 As 0.500 0.500 0.500
2 Lu 0.250 0.250 0.250
3 W 0.000 0.000 0.000
4 W 0.750 0.750 0.750

Values from the calculation:
Electronic total energy in eV/atom: -8.4716
Total moment in μB per formula unit: 0.0
SG: No. 216
Volume in Å³ per atom: 17.81

6.
Here is an optimized crystal structure of Lu2AsW from the Open Quantum Materials Database. Energies are from PBE-GGA.

abc: 4.837 4.837 4.837
angles: 60.00 60.00 60.00
Sites, in units of the cell vectors:
1 As 0.500 0.500 0.500
2 Lu 0.000 0.000 0.000
3 Lu 0.750 0.750 0.750
4 W 0.250 0.250 0.250

Values from the calculation:
Electronic total energy in eV/atom: -6.3727
Total moment in μB per formula unit: 1.0
SG: No. 216
Volume in Å³ per atom: 20.00

7.
Here is an optimized crystal structure of Y2LuAs from the Open Quantum Materials Database. Energies are from PBE-GGA.

abc: 5.236 5.236 5.236
angles: 60.00 60.00 60.00
Sites, in units of the cell vectors:
1 As 0.500 0.500 0.500
2 Lu 0.250 0.250 0.250
3 Y 0.000 0.000 0.000
4 Y 0.750 0.750 0.750

Values from the calculation:
Electronic total energy in eV/atom: -5.6280
Total moment in μB per formula unit: 0.1
SG: No. 216
Volume in Å³ per atom: 25.38

8.
Here is an optimized crystal structure of YLuAs from the Open Quantum Materials Database. Energies are from PBE-GGA.

abc: 4.766 4.766 4.766
angles: 60.00 60.00 60.00
Sites, in units of the cell vectors:
1 As 0.000 0.000 0.000
2 Lu 0.250 0.250 0.250
3 Y 0.750 0.750 0.750

Values from the calculation:
Electronic total energy in eV/atom: -5.9077
Total moment in μB per formula unit: 0.0
SG: No. 216
Volume in Å³ per atom: 25.52

9.
Here is an optimized crystal structure of LuZnAs from the Open Quantum Materials Database. Energies are from PBE-GGA.

abc: 4.683 4.683 4.683
angles: 60.00 60.00 60.00
Sites, in units of the cell vectors:
1 As 0.250 0.250 0.250
2 Lu 0.000 0.000 0.000
3 Zn 0.750 0.750 0.750

Values from the calculation:
Electronic total energy in eV/atom: -3.9166
Total moment in μB per formula unit: 0.0
SG: No. 216
Volume in Å³ per atom: 24.20

10.
Here is an optimized crystal structure of LuZn2As from the Open Quantum Materials Database. Energies are from PBE-GGA.

abc: 4.776 4.776 4.776
angles: 60.00 60.00 60.00
Sites, in units of the cell vectors:
1 As 0.500 0.500 0.500
2 Lu 0.250 0.250 0.250
3 Zn 0.000 0.000 0.000
4 Zn 0.750 0.750 0.750

Values from the calculation:
Electronic total energy in eV/atom: -3.1520
Total moment in μB per formula unit: 0.0
SG: No. 216
Volume in Å³ per atom: 19.26

11.
Here is an optimized crystal structure of Lu2ZnAs from the Open Quantum Materials Database. Energies are from PBE-GGA.

abc: 5.008 5.008 5.008
angles: 60.00 60.00 60.00
Sites, in units of the cell vectors:
1 As 0.500 0.500 0.500
2 Lu 0.000 0.000 0.000
3 Lu 0.750 0.750 0.750
4 Zn 0.250 0.250 0.250

Values from the calculation:
Electronic total energy in eV/atom: -3.7025
Total moment in μB per formula unit: 0.0
SG: No. 216
Volume in Å³ per atom: 22.20

12.
Here is an optimized crystal structure of Lu2ZrAs from the Open Quantum Materials Database. Energies are from PBE-GGA.

abc: 5.033 5.033 5.033
angles: 60.00 60.00 60.00
Sites, in units of the cell vectors:
1 As 0.500 0.500 0.500
2 Lu 0.000 0.000 0.000
3 Lu 0.750 0.750 0.750
4 Zr 0.250 0.250 0.250

Values from the calculation:
Electronic total energy in eV/atom: -5.6223
Total moment in μB per formula unit: 0.8
SG: No. 216
Volume in Å³ per atom: 22.54